# 1
# ZnHg2HI (PBE-GGA, optimized geometry)
data_ZnHg2HI
_space_group_name_H-M_alt 'P 1'
_space_group_IT_number 1
_cell_length_a 8.131
_cell_length_b 8.131
_cell_length_c 5.368
_cell_angle_alpha 90.00
_cell_angle_beta 90.00
_cell_angle_gamma 90.00
loop_
_space_group_symop_operation_xyz
'x,y,z'
loop_
_atom_site_label
_atom_site_fract_x
_atom_site_fract_y
_atom_site_fract_z
Zn1 0.000 0.000 0.000
Hg1 0.000 0.500 0.500
Hg2 0.500 0.000 0.500
H1 0.500 0.500 0.000
I1 0.000 0.000 0.500
# DOS at the Fermi energy in states/eV/f.u.: 0.4
# Symmetry: P4/mmm (123)
# Final energy in eV/atom: -0.815

# 2
# In3HgH (PBE-GGA, optimized geometry)
data_In3HgH
_space_group_name_H-M_alt 'P 1'
_space_group_IT_number 1
_cell_length_a 4.801
_cell_length_b 4.801
_cell_length_c 4.801
_cell_angle_alpha 90.00
_cell_angle_beta 90.00
_cell_angle_gamma 90.00
loop_
_space_group_symop_operation_xyz
'x,y,z'
loop_
_atom_site_label
_atom_site_fract_x
_atom_site_fract_y
_atom_site_fract_z
In1 0.000 0.000 0.500
In2 0.000 0.500 0.000
In3 0.500 0.000 0.000
Hg1 0.500 0.500 0.500
H1 0.000 0.000 0.000
# DOS at the Fermi energy in states/eV/f.u.: 2.6
# Symmetry: Pm-3m (221)
# Final energy in eV/atom: -2.168

# 3
# InHg2H2 (PBE-GGA, optimized geometry)
data_InHg2H2
_space_group_name_H-M_alt 'P 1'
_space_group_IT_number 1
_cell_length_a 5.232
_cell_length_b 5.702
_cell_length_c 7.205
_cell_angle_alpha 84.92
_cell_angle_beta 88.09
_cell_angle_gamma 84.92
loop_
_space_group_symop_operation_xyz
'x,y,z'
loop_
_atom_site_label
_atom_site_fract_x
_atom_site_fract_y
_atom_site_fract_z
In1 0.108 0.372 0.177
In2 0.892 0.628 0.823
Hg1 0.231 0.657 0.482
Hg2 0.316 0.095 0.706
Hg3 0.684 0.905 0.294
Hg4 0.769 0.343 0.518
H1 0.186 0.629 0.986
H2 0.322 0.131 0.112
H3 0.678 0.869 0.888
H4 0.814 0.371 0.014
# DOS at the Fermi energy in states/eV/f.u.: 0.2
# Symmetry: P-1 (2)
# Final energy in eV/atom: -1.765

# 4
# InHg2H (PBE-GGA, optimized geometry)
data_InHg2H
_space_group_name_H-M_alt 'P 1'
_space_group_IT_number 1
_cell_length_a 5.460
_cell_length_b 5.460
_cell_length_c 3.572
_cell_angle_alpha 107.30
_cell_angle_beta 107.30
_cell_angle_gamma 106.07
loop_
_space_group_symop_operation_xyz
'x,y,z'
loop_
_atom_site_label
_atom_site_fract_x
_atom_site_fract_y
_atom_site_fract_z
In1 0.000 0.000 0.000
Hg1 0.280 0.720 0.500
Hg2 0.720 0.280 0.500
H1 0.500 0.500 0.500
# DOS at the Fermi energy in states/eV/f.u.: 0.7
# Symmetry: C2/m (12)
# Final energy in eV/atom: -1.481

Record order is preserved below.
Volume: 354.91, 110.69, 213.19, 88.94 Å³/cell
Record order is preserved below.
Energy above the lowest structure with this stoichiometry: 230, 45, 0, 43 meV per atom